Record 1
InGeBi, optimized geometry, DFT PBE; DFT total energy = -3.60 eV per atom; magnetization = 0.00 Bohr magnetons per cell; polymorph energy (0 for the lowest one) = 30 meV/atom; density = 7.91 g/cm³; formation energy = 0.14 eV per atom; SG = P1, No. 1
1.0
3.2516 -0.0384 0.0123
-0.1658 4.0404 -0.0171
-1.5088 -2.0151 6.3395
In Ge Bi
1 1 1
Cartesian
0.9715 -0.3304 1.5809
1.0221 -0.3365 6.3205
0.9805 1.6824 4.1893


Record 2
In2GeBi, optimized geometry, DFT PBE; DFT total energy = -3.35 eV per atom; magnetization = 0.00 Bohr magnetons per cell; polymorph energy (0 for the lowest one) = 12 meV/atom; density = 7.71 g/cm³; formation energy = 0.15 eV per atom; SG = R-3m, No. 166
1.0
-0.1731 -4.0938 -0.2918
0.3716 -1.8154 -3.6662
7.5317 -2.3529 -0.3729
Bi In Ge
1 2 1
Cartesian
3.8651 -4.1310 -2.1655
1.6506 -2.0510 -1.1185
6.0796 -6.2110 -3.2125
0.0000 0.0000 0.0000


Record 3
In12GeBi3, optimized geometry, DFT PBE; DFT total energy = -3.02 eV per atom; magnetization = 0.00 Bohr magnetons per cell; density = 7.68 g/cm³; formation energy = 0.05 eV per atom; SG = P4/mmm, No. 123
1.0
-1.4274 2.3241 -4.1171
-3.0371 -3.7466 -1.0620
-13.5194 8.3022 9.3737
In Ge Bi
12 1 3
Cartesian
-12.4915 5.5890 4.5238
-10.0307 3.3540 5.3709
-9.2258 6.3893 3.8434
-3.0313 -0.9443 0.5178
-12.7203 8.5353 6.2664
-8.9919 3.4399 2.0973
-2.2264 2.0910 -1.0097
-5.7210 4.2370 1.4133
-6.5258 1.2017 2.9408
-5.4924 1.2908 -0.3291
-13.5253 5.5000 7.7939
-2.2322 -0.7113 -2.5895
0.0000 0.0000 0.0000
-10.2945 6.3218 7.1377
-6.7597 4.1511 4.6869
-3.2249 1.9804 2.2360